*1*
The following is a PBE-GGA calculation of a relaxed structure of NaCd3N, from Alexandria via LeMat-Bulk.

Summary:
Magnetization: 2.408 μB per formula unit
Symmetry: Pm-3m (221)

Unit cell a=5.976 b=5.976 c=5.976 alpha=90.00 beta=90.00 gamma=90.00
Element x y z (fractional)
Na: 0.000 0.000 0.000
Cd: 0.000 0.000 0.500
Cd: 0.000 0.500 0.000
Cd: 0.500 0.000 0.000
N: 0.500 0.500 0.500

*2*
The following is a PBE-GGA calculation of a relaxed structure of NaCd3N, from Alexandria via LeMat-Bulk.

Summary:
Magnetization: 0.000 μB per formula unit
Symmetry: Pm-3m (221)

Unit cell a=4.749 b=4.749 c=4.749 alpha=90.00 beta=90.00 gamma=90.00
Element x y z (fractional)
Na: 0.000 0.000 0.000
Cd: 0.000 0.500 0.500
Cd: 0.500 0.000 0.500
Cd: 0.500 0.500 0.000
N: 0.500 0.500 0.500

Which one sits at the top of the stability order? *2* does.

*1*
The following is a PBE-GGA calculation of a relaxed structure of NaCdS2N, from Alexandria via LeMat-Bulk.

Summary:
Magnetization: 2.657 μB per formula unit
Symmetry: P4/mmm (123)

Unit cell a=5.136 b=5.136 c=4.370 alpha=90.00 beta=90.00 gamma=90.00
Element x y z (fractional)
Na: 0.000 0.000 0.000
Cd: 0.500 0.500 0.500
S: 0.000 0.500 0.500
S: 0.500 0.000 0.500
N: 0.500 0.500 0.000

*2*
The following is a PBE-GGA calculation of a relaxed structure of NaCdS2N, from Alexandria via LeMat-Bulk.

Summary:
Magnetization: 3.938 μB per formula unit
Symmetry: P4/mmm (123)

Unit cell a=5.060 b=5.060 c=4.322 alpha=90.00 beta=90.00 gamma=90.00
Element x y z (fractional)
Na: 0.000 0.000 0.000
Cd: 0.500 0.500 0.500
S: 0.000 0.500 0.000
S: 0.500 0.000 0.000
N: 0.000 0.000 0.500

Which one sits at the top of the stability order? *1* does.

*1*
The following is a PBE-GGA calculation of a relaxed structure of NaCdSe2N, from Alexandria via LeMat-Bulk.

Summary:
Magnetization: 3.495 μB per formula unit
Symmetry: P4/mmm (123)

Unit cell a=5.263 b=5.263 c=4.376 alpha=90.00 beta=90.00 gamma=90.00
Element x y z (fractional)
Na: 0.000 0.000 0.000
Cd: 0.500 0.500 0.500
Se: 0.000 0.500 0.000
Se: 0.500 0.000 0.000
N: 0.000 0.000 0.500

*2*
The following is a PBE-GGA calculation of a relaxed structure of NaCdSe2N, from Alexandria via LeMat-Bulk.

Summary:
Magnetization: 3.181 μB per formula unit
Symmetry: P4/mmm (123)

Unit cell a=5.444 b=5.444 c=4.320 alpha=90.00 beta=90.00 gamma=90.00
Element x y z (fractional)
Na: 0.000 0.000 0.000
Cd: 0.500 0.500 0.500
Se: 0.000 0.500 0.500
Se: 0.500 0.000 0.500
N: 0.500 0.500 0.000

Which one sits at the top of the stability order? *2* does.

*1*
The following is a PBE-GGA calculation of a relaxed structure of NaSr2CdN, from Alexandria via LeMat-Bulk.

Summary:
Magnetization: 0.000 μB per formula unit
Symmetry: P4/mmm (123)

Unit cell a=5.295 b=5.295 c=5.013 alpha=90.00 beta=90.00 gamma=90.00
Element x y z (fractional)
Na: 0.000 0.000 0.000
Sr: 0.000 0.500 0.500
Sr: 0.500 0.000 0.500
Cd: 0.500 0.500 0.000
N: 0.500 0.500 0.500

*2*
The following is a PBE-GGA calculation of a relaxed structure of NaSr2CdN, from Alexandria via LeMat-Bulk.

Summary:
Magnetization: 0.000 μB per formula unit
Symmetry: P4/mmm (123)

Unit cell a=5.266 b=5.266 c=4.996 alpha=90.00 beta=90.00 gamma=90.00
Element x y z (fractional)
Na: 0.000 0.000 0.000
Sr: 0.000 0.500 0.500
Sr: 0.500 0.000 0.500
Cd: 0.500 0.500 0.000
N: 0.000 0.000 0.500

Which one sits at the top of the stability order? *2* does.

*1*
The following is a PBE-GGA calculation of a relaxed structure of NaCdTeN2, from Alexandria via LeMat-Bulk.

Summary:
Magnetization: 4.751 μB per formula unit
Symmetry: P4/mmm (123)

Unit cell a=4.539 b=4.539 c=6.018 alpha=90.00 beta=90.00 gamma=90.00
Element x y z (fractional)
Na: 0.000 0.000 0.000
Cd: 0.500 0.500 0.500
Te: 0.500 0.500 0.000
N: 0.000 0.500 0.500
N: 0.500 0.000 0.500

*2*
The following is a PBE-GGA calculation of a relaxed structure of NaCdTeN2, from Alexandria via LeMat-Bulk.

Summary:
Magnetization: 5.311 μB per formula unit
Symmetry: P4/mmm (123)

Unit cell a=4.497 b=4.497 c=6.269 alpha=90.00 beta=90.00 gamma=90.00
Element x y z (fractional)
Na: 0.000 0.000 0.000
Cd: 0.500 0.500 0.500
Te: 0.000 0.000 0.500
N: 0.000 0.500 0.000
N: 0.500 0.000 0.000

Which one sits at the top of the stability order? *1* does.

*1*
The following is a PBE-GGA calculation of a relaxed structure of Nb2CdN, from Alexandria via LeMat-Bulk.

Summary:
Magnetization: 0.000 μB per formula unit
Symmetry: I-42d (122)

Unit cell a=5.414 b=5.414 c=10.952 alpha=90.00 beta=90.00 gamma=90.00
Element x y z (fractional)
Nb: 0.115 0.250 0.125
Nb: 0.250 0.615 0.375
Nb: 0.250 0.885 0.875
Nb: 0.385 0.250 0.625
Nb: 0.615 0.750 0.625
Nb: 0.750 0.115 0.875
Nb: 0.750 0.385 0.375
Nb: 0.885 0.750 0.125
Cd: 0.000 0.000 0.500
Cd: 0.000 0.500 0.750
Cd: 0.500 0.000 0.250
Cd: 0.500 0.500 0.000
N: 0.000 0.000 0.000
N: 0.000 0.500 0.250
N: 0.500 0.000 0.750
N: 0.500 0.500 0.500

*2*
The following is a PBE-GGA calculation of a relaxed structure of Nb2CdN, from Alexandria via LeMat-Bulk.

Summary:
Magnetization: 0.000 μB per formula unit
Symmetry: R-3m (166)

Unit cell a=3.149 b=3.149 c=24.654 alpha=90.00 beta=90.00 gamma=120.00
Element x y z (fractional)
Nb: 0.000 0.000 0.119
Nb: 0.000 0.000 0.881
Nb: 0.333 0.667 0.547
Nb: 0.333 0.667 0.786
Nb: 0.667 0.333 0.214
Nb: 0.667 0.333 0.453
Cd: 0.000 0.000 0.000
Cd: 0.333 0.667 0.667
Cd: 0.667 0.333 0.333
N: 0.000 0.000 0.500
N: 0.333 0.667 0.167
N: 0.667 0.333 0.833

*3*
The following is a PBE-GGA calculation of a relaxed structure of Nb2CdN, from Alexandria via LeMat-Bulk.

Summary:
Magnetization: 0.000 μB per formula unit
Symmetry: Fm-3m (225)

Unit cell a=6.310 b=6.310 c=6.310 alpha=90.00 beta=90.00 gamma=90.00
Element x y z (fractional)
Nb: 0.250 0.250 0.250
Nb: 0.250 0.250 0.750
Nb: 0.250 0.750 0.250
Nb: 0.250 0.750 0.750
Nb: 0.750 0.250 0.250
Nb: 0.750 0.250 0.750
Nb: 0.750 0.750 0.250
Nb: 0.750 0.750 0.750
Cd: 0.000 0.000 0.000
Cd: 0.000 0.500 0.500
Cd: 0.500 0.000 0.500
Cd: 0.500 0.500 0.000
N: 0.000 0.000 0.500
N: 0.000 0.500 0.000
N: 0.500 0.000 0.000
N: 0.500 0.500 0.500

Which one sits at the top of the stability order? *2* does.